[1]
Ac5USe8 after structural relaxation. Source: Alexandria via LeMat-Bulk, functional PBE.

Values from the calculation:
- density (g cm⁻³) = 8.3
- symmetry = No. 82
- energy relative to the elements, uncorrected (eV/atom) = -1.80

a b c (Å): 8.0482 8.0482 8.0482
angles (deg): 109.32 109.77 109.32
Positions (direct):
Ac1 0.0039 0.3785 0.1288
Ac2 0.8712 0.8751 0.2498
Ac3 0.7502 0.6215 0.6254
Ac4 0.5000 0.0000 0.5000
Ac5 0.3746 0.1249 0.9961
U1 0.2500 0.5000 0.7500
Se1 0.1317 0.7470 0.0234
Se2 0.9766 0.1083 0.7236
Se3 0.7850 0.2526 0.3786
Se4 0.6214 0.4064 0.8741
Se5 0.4676 0.5936 0.2150
Se6 0.6152 0.8917 0.8683
Se7 0.2764 0.2530 0.3848
Se8 0.1259 0.7474 0.5324

[2]
Sc3GaFe8 after structural relaxation. Source: Alexandria via LeMat-Bulk, functional PBE.

Values from the calculation:
- formation energy from the elements (eV per atom) = -0.233
- density (g cm⁻³) = 6.6
- symmetry = No. 160

a b c (Å): 4.8758 4.8758 8.4349
angles (deg): 73.20 73.20 60.00
Positions (direct):
Sc1 0.3753 0.3753 0.8740
Sc2 0.9970 0.9970 0.0089
Sc3 0.5023 0.5023 0.4931
Ga1 0.8744 0.8744 0.3769
Fe1 0.9366 0.4364 0.1906
Fe2 0.4408 0.9377 0.6839
Fe3 0.4364 0.4364 0.1906
Fe4 0.9377 0.9377 0.6839
Fe5 0.1876 0.1876 0.4372
Fe6 0.6878 0.6878 0.9366
Fe7 0.4364 0.9366 0.1906
Fe8 0.9377 0.4408 0.6839

Look up the density of the second one. 6.6 g cm⁻³

What is the formula in the first record? Ac5USe8

Look up the density of the second one. 6.6 g cm⁻³